Entry from Alexandria via LeMat-Bulk: Y2ScIr after structural relaxation (PBE-GGA).

Computed properties:
As for the crystal system: tetragonal. The energy above the most stable polymorph in this dataset is 0.56 eV per formula unit.

Cell lengths 3.5169, 3.5169, 8.1084 Å; angles 90.00, 90.00, 89.99 degrees
Site moments in Bohr magnetons follow the coordinates.
Element x y z (fractional)
1 Ir 0.5000 0.5000 0.2500  0.06
2 Sc 0.5000 0.5000 0.7500  0.56
3 Y 0.0000 0.0000 0.0511  0.11
4 Y 0.0000 0.0000 0.4489  0.11


Entry from Alexandria via LeMat-Bulk: Y2ScIr after structural relaxation (PBE-GGA).

Computed properties:
As for the crystal system: trigonal. The energy above the most stable polymorph in this dataset is 0.88 eV per formula unit.

Cell lengths 9.3376, 9.3376, 9.3376 Å; angles 23.35, 23.35, 23.35 degrees
Element x y z (fractional)
1 Ir 0.4942 0.4942 0.4942
2 Sc 0.7763 0.7763 0.7763
3 Y 0.0054 0.0054 0.0054
4 Y 0.2241 0.2241 0.2241


Entry from Alexandria via LeMat-Bulk: YSc2Ir after structural relaxation (PBE-GGA).

Computed properties:
As for the crystal system: monoclinic. The energy above the most stable polymorph in this dataset is 1.83 eV per formula unit.

Cell lengths 5.4626, 5.7636, 3.1586 Å; angles 77.65, 82.70, 116.05 degrees
Element x y z (fractional)
1 Ir 0.5000 0.5000 0.0000
2 Sc 0.0000 0.0000 0.0000
3 Sc 0.5000 0.0000 0.5000
4 Y 0.0000 0.5000 0.5000


Entry from Alexandria via LeMat-Bulk: YScIr after structural relaxation (PBE-GGA).

Computed properties:
As for the crystal system: trigonal. The energy above the most stable polymorph in this dataset is 0.85 eV per formula unit.

Cell lengths 4.1296, 4.1296, 5.2369 Å; angles 90.00, 90.00, 120.00 degrees
Element x y z (fractional)
1 Ir 0.0000 0.0000 0.0269
2 Sc 0.3333 0.6667 0.2270
3 Y 0.6667 0.3333 0.7461


Entry from Alexandria via LeMat-Bulk: Y2ScIr2 after structural relaxation (PBE-GGA).

Computed properties:
As for the crystal system: tetragonal. The energy above the most stable polymorph in this dataset is 1.89 eV per formula unit.

Cell lengths 8.1960, 8.1960, 3.1805 Å; angles 90.00, 90.00, 90.00 degrees
Element x y z (fractional)
1 Y 0.3628 0.8628 0.0000
2 Y 0.8628 0.6372 0.0000
3 Y 0.6372 0.1372 0.0000
4 Y 0.1372 0.3628 0.0000
5 Sc 0.0000 0.0000 0.0000
6 Sc 0.5000 0.5000 0.0000
7 Ir 0.1649 0.6649 0.5000
8 Ir 0.6649 0.8351 0.5000
9 Ir 0.8351 0.3351 0.5000
10 Ir 0.3351 0.1649 0.5000


Entry from Alexandria via LeMat-Bulk: YScIr after structural relaxation (PBE-GGA).

Computed properties:
As for the crystal system: orthorhombic. The energy above the most stable polymorph in this dataset is 0.00 eV per formula unit.

Cell lengths 7.1677, 8.4344, 8.4344 Å; angles 63.43, 64.86, 64.86 degrees
Element x y z (fractional)
1 Y 0.1673 0.0431 0.5431
2 Y 0.7535 0.9569 0.4569
3 Y 0.3393 0.7500 0.2500
4 Y 0.3393 0.2500 0.7500
5 Y 0.7536 0.4569 0.9569
6 Y 0.1675 0.5431 0.0431
7 Sc 0.0065 0.0000 0.0000
8 Sc 0.0065 0.5000 0.5000
9 Sc 0.7531 0.3736 0.3735
10 Sc 0.5002 0.6264 0.6265
11 Sc 0.5002 0.1265 0.1264
12 Sc 0.7531 0.8735 0.8736
13 Ir 0.7534 0.2500 0.7500
14 Ir 0.7535 0.7500 0.2500
15 Ir 0.0865 0.1668 0.1666
16 Ir 0.4199 0.8332 0.8334
17 Ir 0.4199 0.3334 0.3332
18 Ir 0.0865 0.6666 0.6668


no.,formation energy (meV/atom),volume (Å³ per cell)
1,-354,100.29
2,-274,112.27
3,-129,84.47
4,-480,77.34
5,-414,213.65
6,-763,395.07